1.
! Ba2CoHgAu | Alexandria | GGA-PBE | relaxed; values from VASP
! Symmetry ... P4/mmm (123)
! E_form ... -0.08 eV/atom
&SYSTEM
  ibrav = 0, nat = 5, ntyp = 4
/
ATOMIC_SPECIES
Ba 137.33 Ba.upf
Co 58.93 Co.upf
Hg 200.59 Hg.upf
Au 196.97 Au.upf
CELL_PARAMETERS angstrom
5.748 0.000 0.000
0.000 5.748 0.000
0.000 0.000 4.956
ATOMIC_POSITIONS crystal
Ba 0.000 0.500 0.000
Ba 0.500 0.000 0.000
Co 0.000 0.000 0.000
Hg 0.000 0.000 0.500
Au 0.500 0.500 0.500

=====

2.
! CuHg3Os | Alexandria | GGA-PBE | relaxed; values from VASP
! Symmetry ... Pm-3m (221)
! E_form ... 1.15 eV/atom
&SYSTEM
  ibrav = 0, nat = 5, ntyp = 3
/
ATOMIC_SPECIES
Cu 63.55 Cu.upf
Hg 200.59 Hg.upf
Os 190.23 Os.upf
CELL_PARAMETERS angstrom
5.252 0.000 0.000
0.000 5.252 0.000
0.000 0.000 5.252
ATOMIC_POSITIONS crystal
Cu 0.000 0.000 0.000
Hg 0.000 0.500 0.500
Hg 0.500 0.000 0.500
Hg 0.500 0.500 0.000
Os 0.500 0.500 0.500

=====

3.
! TaTePdN2 | Alexandria | GGA-PBE | relaxed; values from VASP
! Formation energy from raw total energies ... 8.8 eV/f.u.
! Symmetry ... P4/mmm (123)
&SYSTEM
  ibrav = 0, nat = 5, ntyp = 4
/
ATOMIC_SPECIES
Ta 180.95 Ta.upf
Te 127.60 Te.upf
Pd 106.42 Pd.upf
N 14.01 N.upf
CELL_PARAMETERS angstrom
4.027 0.000 0.000
0.000 4.027 0.000
0.000 0.000 5.175
ATOMIC_POSITIONS crystal
Ta 0.000 0.000 0.000
Te 0.500 0.500 0.000
Pd 0.500 0.500 0.500
N 0.000 0.500 0.500
N 0.500 0.000 0.500

=====

4.
! Tb8Bi5Sb | Alexandria | GGA-PBE | relaxed; values from VASP
! Formation energy from raw total energies ... -11.1 eV/f.u.
! Symmetry ... I-4 (82)
&SYSTEM
  ibrav = 0, nat = 14, ntyp = 3
/
ATOMIC_SPECIES
Tb 158.93 Tb.upf
Bi 208.98 Bi.upf
Sb 121.76 Sb.upf
CELL_PARAMETERS angstrom
-4.690 4.690 4.711
4.690 -4.690 4.711
4.690 4.690 -4.711
ATOMIC_POSITIONS crystal
Tb 0.024 0.628 0.747
Tb 0.229 0.485 0.110
Tb 0.372 0.120 0.396
Tb 0.375 0.119 0.890
Tb 0.515 0.625 0.744
Tb 0.724 0.976 0.604
Tb 0.880 0.276 0.253
Tb 0.881 0.771 0.256
Bi 0.000 0.000 0.000
Bi 0.124 0.250 0.628
Bi 0.505 0.876 0.126
Bi 0.622 0.495 0.372
Bi 0.750 0.378 0.874
Sb 0.250 0.750 0.500

=====

5.
! Y2TiAl | Alexandria | GGA-PBE | relaxed; values from VASP
! Symmetry ... P4/mmm (123)
! E_form ... -0.06 eV/atom
&SYSTEM
  ibrav = 0, nat = 4, ntyp = 3
/
ATOMIC_SPECIES
Y 88.91 Y.upf
Ti 47.87 Ti.upf
Al 26.98 Al.upf
CELL_PARAMETERS angstrom
3.428 0.000 0.000
0.000 3.428 0.000
0.000 0.000 8.219
ATOMIC_POSITIONS crystal
Y 0.000 0.000 0.243
Y 0.000 0.000 0.757
Ti 0.500 0.500 0.500
Al 0.500 0.500 0.000

=====

6.
! LiTc2Br | Alexandria | GGA-PBE | relaxed; values from VASP
! Formation energy from raw total energies ... 3.8 eV/f.u.
! Symmetry ... P4/mmm (123)
&SYSTEM
  ibrav = 0, nat = 4, ntyp = 3
/
ATOMIC_SPECIES
Li 6.94 Li.upf
Tc 98.00 Tc.upf
Br 79.90 Br.upf
CELL_PARAMETERS angstrom
4.373 0.000 0.000
0.000 4.373 0.000
0.000 0.000 3.003
ATOMIC_POSITIONS crystal
Li 0.000 0.000 0.000
Tc 0.000 0.500 0.500
Tc 0.500 0.000 0.500
Br 0.500 0.500 0.000

=====

7.
! Ti2VHOs | Alexandria | GGA-PBE | relaxed; values from VASP
! Symmetry ... P4/mmm (123)
! Final energy ... -41.2 eV/cell
&SYSTEM
  ibrav = 0, nat = 5, ntyp = 4
/
ATOMIC_SPECIES
Ti 47.87 Ti.upf
V 50.94 V.upf
H 1.01 H.upf
Os 190.23 Os.upf
CELL_PARAMETERS angstrom
4.316 0.000 0.000
0.000 4.316 0.000
0.000 0.000 3.307
ATOMIC_POSITIONS crystal
Ti 0.000 0.500 0.000
Ti 0.500 0.000 0.000
V 0.000 0.000 0.500
H 0.000 0.000 0.000
Os 0.500 0.500 0.500

=====

8.
! Ce6HgIr2 | Alexandria | GGA-PBE | relaxed; values from VASP
! Symmetry ... C2/m (12)
! E_form ... -0.46 eV/atom
&SYSTEM
  ibrav = 0, nat = 9, ntyp = 3
/
ATOMIC_SPECIES
Ce 140.12 Ce.upf
Hg 200.59 Hg.upf
Ir 192.22 Ir.upf
CELL_PARAMETERS angstrom
5.236 -2.367 0.000
5.236 2.367 0.000
-0.724 0.000 8.945
ATOMIC_POSITIONS crystal
Ce 0.065 0.065 0.360
Ce 0.296 0.296 0.911
Ce 0.398 0.398 0.326
Ce 0.602 0.602 0.674
Ce 0.704 0.704 0.089
Ce 0.935 0.935 0.640
Hg 0.000 0.000 0.000
Ir 0.263 0.263 0.615
Ir 0.737 0.737 0.385

=====

9.
! LiCa3Er3Se8 | Alexandria | GGA-PBE | relaxed; values from VASP
! Formation energy from raw total energies ... -27.2 eV/f.u.
! Symmetry ... R-3m (166)
&SYSTEM
  ibrav = 0, nat = 15, ntyp = 4
/
ATOMIC_SPECIES
Li 6.94 Li.upf
Ca 40.08 Ca.upf
Er 167.26 Er.upf
Se 78.96 Se.upf
CELL_PARAMETERS angstrom
4.082 2.357 6.782
-4.082 2.357 6.782
0.000 -4.713 6.782
ATOMIC_POSITIONS crystal
Li 0.000 0.000 0.000
Ca 0.000 0.000 0.500
Ca 0.000 0.500 0.000
Ca 0.500 0.000 0.000
Er 0.000 0.500 0.500
Er 0.500 0.000 0.500
Er 0.500 0.500 0.000
Se 0.245 0.245 0.744
Se 0.245 0.744 0.245
Se 0.253 0.253 0.253
Se 0.256 0.755 0.755
Se 0.744 0.245 0.245
Se 0.747 0.747 0.747
Se 0.755 0.256 0.755
Se 0.755 0.755 0.256

=====

10.
! RbTl2Hg2 | Alexandria | GGA-PBE | relaxed; values from VASP
! Symmetry ... P4/mbm (127)
! E_form ... -0.09 eV/atom
&SYSTEM
  ibrav = 0, nat = 10, ntyp = 3
/
ATOMIC_SPECIES
Rb 85.47 Rb.upf
Tl 204.38 Tl.upf
Hg 200.59 Hg.upf
CELL_PARAMETERS angstrom
9.487 0.000 0.000
0.000 9.487 0.000
0.000 0.000 3.655
ATOMIC_POSITIONS crystal
Rb 0.000 0.000 0.000
Rb 0.500 0.500 0.000
Tl 0.130 0.370 0.000
Tl 0.370 0.870 0.000
Tl 0.630 0.130 0.000
Tl 0.870 0.630 0.000
Hg 0.163 0.663 0.500
Hg 0.337 0.163 0.500
Hg 0.663 0.837 0.500
Hg 0.837 0.337 0.500

=====

11.
! B | Alexandria | GGA-PBE | relaxed; values from VASP
! Symmetry ... P2_1/c (14)
! E_form ... 0.26 eV/atom
&SYSTEM
  ibrav = 0, nat = 4, ntyp = 1
/
ATOMIC_SPECIES
B 10.81 B.upf
CELL_PARAMETERS angstrom
3.039 0.000 0.000
0.000 3.159 0.000
-1.470 0.000 2.740
ATOMIC_POSITIONS crystal
B 0.199 0.105 0.403
B 0.199 0.395 0.903
B 0.801 0.605 0.097
B 0.801 0.895 0.597

=====

12.
! Ac3Pm4Nd | Alexandria | GGA-PBE | relaxed; values from VASP
! Symmetry ... Pmn2_1 (31)
! E_form ... 0.03 eV/atom
&SYSTEM
  ibrav = 0, nat = 16, ntyp = 3
/
ATOMIC_SPECIES
Ac 227.00 Ac.upf
Pm 145.00 Pm.upf
Nd 144.24 Nd.upf
CELL_PARAMETERS angstrom
10.787 0.000 0.000
0.000 7.521 0.000
0.000 0.000 7.521
ATOMIC_POSITIONS crystal
Ac 0.000 0.001 0.000
Ac 0.250 0.256 0.250
Ac 0.250 0.744 0.750
Ac 0.500 0.999 0.500
Ac 0.750 0.256 0.250
Ac 0.750 0.744 0.750
Pm 0.000 0.000 0.500
Pm 0.000 0.500 0.000
Pm 0.250 0.250 0.750
Pm 0.250 0.750 0.250
Pm 0.500 0.000 0.000
Pm 0.500 0.500 0.500
Pm 0.750 0.250 0.750
Pm 0.750 0.750 0.250
Nd 0.000 0.500 0.500
Nd 0.500 0.500 0.000

=====

13.
! DyZnH8Rh2 | Alexandria | GGA-PBE | relaxed; values from VASP
! Symmetry ... R-3 (148)
! Final energy ... -49.0 eV/cell
&SYSTEM
  ibrav = 0, nat = 12, ntyp = 4
/
ATOMIC_SPECIES
Dy 162.50 Dy.upf
Zn 65.41 Zn.upf
H 1.01 H.upf
Rh 102.91 Rh.upf
CELL_PARAMETERS angstrom
2.323 1.341 5.489
-2.323 1.341 5.489
0.000 -2.682 5.489
ATOMIC_POSITIONS crystal
Dy 0.000 0.000 0.000
Zn 0.500 0.500 0.500
H 0.121 0.409 0.777
H 0.223 0.879 0.591
H 0.317 0.317 0.317
H 0.409 0.777 0.121
H 0.591 0.223 0.879
H 0.683 0.683 0.683
H 0.777 0.121 0.409
H 0.879 0.591 0.223
Rh 0.218 0.218 0.218
Rh 0.782 0.782 0.782

=====

14.
! GaH2Rh2 | Alexandria | GGA-PBE | relaxed; values from VASP
! Symmetry ... P4/mmm (123)
! Final energy ... -25.7 eV/cell
&SYSTEM
  ibrav = 0, nat = 5, ntyp = 3
/
ATOMIC_SPECIES
Ga 69.72 Ga.upf
H 1.01 H.upf
Rh 102.91 Rh.upf
CELL_PARAMETERS angstrom
2.943 0.000 0.000
0.000 2.943 0.000
0.000 0.000 5.717
ATOMIC_POSITIONS crystal
Ga 0.000 0.000 0.000
H 0.000 0.500 0.500
H 0.500 0.000 0.500
Rh 0.500 0.500 0.266
Rh 0.500 0.500 0.734

=====

15.
! CsTmAlTe4 | Alexandria | GGA-PBE | relaxed; values from VASP
! Formation energy from raw total energies ... -6.3 eV/f.u.
! Symmetry ... P2_1/m (11)
&SYSTEM
  ibrav = 0, nat = 14, ntyp = 4
/
ATOMIC_SPECIES
Cs 132.91 Cs.upf
Tm 168.93 Tm.upf
Al 26.98 Al.upf
Te 127.60 Te.upf
CELL_PARAMETERS angstrom
7.606 0.000 0.000
0.000 6.625 0.000
-3.029 0.000 10.315
ATOMIC_POSITIONS crystal
Cs 0.233 0.250 0.049
Cs 0.767 0.750 0.951
Tm 0.255 0.250 0.551
Tm 0.745 0.750 0.449
Al 0.263 0.750 0.341
Al 0.737 0.250 0.659
Te 0.016 0.509 0.694
Te 0.016 0.991 0.694
Te 0.437 0.750 0.585
Te 0.457 0.750 0.181
Te 0.543 0.250 0.819
Te 0.563 0.250 0.415
Te 0.984 0.009 0.306
Te 0.984 0.491 0.306

=====

16.
! ErTm4Zr | Alexandria | GGA-PBE | relaxed; values from VASP
! Symmetry ... C2/c (15)
! E_form ... 0.13 eV/atom
&SYSTEM
  ibrav = 0, nat = 12, ntyp = 3
/
ATOMIC_SPECIES
Er 167.26 Er.upf
Tm 168.93 Tm.upf
Zr 91.22 Zr.upf
CELL_PARAMETERS angstrom
4.371 -7.008 0.000
4.371 7.008 0.000
-2.057 0.000 5.814
ATOMIC_POSITIONS crystal
Er 0.093 0.907 0.750
Er 0.907 0.093 0.250
Tm 0.094 0.325 0.867
Tm 0.217 0.593 0.460
Tm 0.325 0.094 0.367
Tm 0.407 0.783 0.040
Tm 0.593 0.217 0.960
Tm 0.675 0.906 0.633
Tm 0.783 0.407 0.540
Tm 0.906 0.675 0.133
Zr 0.498 0.502 0.250
Zr 0.502 0.498 0.750

=====

17.
! Bi2HPd4Au2 | Alexandria | GGA-PBE | relaxed; values from VASP
! Symmetry ... I4/mmm (139)
! Final energy ... -38.9 eV/cell
&SYSTEM
  ibrav = 0, nat = 9, ntyp = 4
/
ATOMIC_SPECIES
Bi 208.98 Bi.upf
H 1.01 H.upf
Pd 106.42 Pd.upf
Au 196.97 Au.upf
CELL_PARAMETERS angstrom
-2.988 2.988 4.409
2.988 -2.988 4.409
2.988 2.988 -4.409
ATOMIC_POSITIONS crystal
Bi 0.204 0.204 0.000
Bi 0.796 0.796 0.000
H 0.500 0.500 0.000
Pd 0.266 0.266 0.532
Pd 0.266 0.734 0.000
Pd 0.734 0.266 0.000
Pd 0.734 0.734 0.468
Au 0.250 0.750 0.500
Au 0.750 0.250 0.500

=====

18.
! CsCoSe2Br | Alexandria | GGA-PBE | relaxed; values from VASP
! Formation energy from raw total energies ... -2.0 eV/f.u.
! Symmetry ... P4/mmm (123)
&SYSTEM
  ibrav = 0, nat = 5, ntyp = 4
/
ATOMIC_SPECIES
Cs 132.91 Cs.upf
Co 58.93 Co.upf
Se 78.96 Se.upf
Br 79.90 Br.upf
CELL_PARAMETERS angstrom
4.796 0.000 0.000
0.000 4.796 0.000
0.000 0.000 6.136
ATOMIC_POSITIONS crystal
Cs 0.000 0.000 0.000
Co 0.500 0.500 0.500
Se 0.000 0.500 0.500
Se 0.500 0.000 0.500
Br 0.500 0.500 0.000

=====

19.
! Ho2PuTl | Alexandria | GGA-PBE | relaxed; values from VASP
! Symmetry ... R3m (160)
! E_form ... -0.03 eV/atom
&SYSTEM
  ibrav = 0, nat = 4, ntyp = 3
/
ATOMIC_SPECIES
Ho 164.93 Ho.upf
Pu 244.00 Pu.upf
Tl 204.38 Tl.upf
CELL_PARAMETERS angstrom
1.765 1.019 10.748
-1.765 1.019 10.748
0.000 -2.038 10.748
ATOMIC_POSITIONS crystal
Ho 0.000 0.000 0.000
Ho 0.172 0.172 0.172
Pu 0.419 0.419 0.419
Tl 0.586 0.586 0.586

=====

20.
! FeNiRh6 | Alexandria | GGA-PBE | relaxed; values from VASP
! Symmetry ... P4/mmm (123)
! E_form ... 0.01 eV/atom
&SYSTEM
  ibrav = 0, nat = 8, ntyp = 3
/
ATOMIC_SPECIES
Fe 55.84 Fe.upf
Ni 58.69 Ni.upf
Rh 102.91 Rh.upf
CELL_PARAMETERS angstrom
3.805 0.000 0.000
0.000 3.805 0.000
0.000 0.000 7.602
ATOMIC_POSITIONS crystal
Fe 0.000 0.000 0.000
Ni 0.000 0.000 0.500
Rh 0.000 0.500 0.251
Rh 0.000 0.500 0.749
Rh 0.500 0.000 0.251
Rh 0.500 0.000 0.749
Rh 0.500 0.500 0.000
Rh 0.500 0.500 0.500